[1]
# K2ZnBr

A geometry-optimized K2ZnBr structure (PBE-GGA, the Alexandria database).

Calculated values
Fermi-level density of states = 13.708 states/eV/cell
uncorrected formation energy = -0.5556 eV/atom
excess energy over the best structure of this formula in the dataset = 139 meV per atom
M_tot = 0.00 Bohr magnetons per cell
crystal system = cubic

abc: 8.4154 8.4154 8.4154
angles: 90.00 90.00 90.00
Space group Fm-3m (No. 225)
One atom of each set of equivalent atoms:
K: 0.2500 0.2500 0.2500 x8
Zn: 0.0000 0.0000 0.0000 x4
Br: 0.0000 0.0000 0.5000 x4



[2]
# KZnBr2

A geometry-optimized KZnBr2 structure (PBE-GGA, the Alexandria database).

Calculated values
Fermi-level density of states = 1.593 states/eV/cell
uncorrected formation energy = -0.8971 eV/atom
excess energy over the best structure of this formula in the dataset = 66 meV per atom
M_tot = 0.00 Bohr magnetons per cell
crystal system = tetragonal

abc: 4.3424 4.3424 6.8704
angles: 90.00 90.00 90.00
Space group P4mm (No. 99)
One atom of each set of equivalent atoms:
K: 0.0000 0.0000 0.0000 x1
Zn: 0.5000 0.5000 0.4961 x1
Br: 0.0000 0.0000 0.5285 x1
Br: 0.5000 0.5000 0.1102 x1



[3]
# KZnBr4

A geometry-optimized KZnBr4 structure (PBE-GGA, the Alexandria database).

Calculated values
Fermi-level density of states = 36.954 states/eV/cell
uncorrected formation energy = -0.0862 eV/atom
M_tot = 7.56 Bohr magnetons per cell
crystal system = cubic

abc: 9.2664 9.2664 9.2664
angles: 90.00 90.00 90.00
Space group F-43m (No. 216)
One atom of each set of equivalent atoms:
K: 0.0000 0.0000 0.0000 x4
Zn: 0.2500 0.2500 0.7500 x4
Br: 0.1243 0.1243 0.3757 x16



Look up the M_tot of the first one.
0.00 Bohr magnetons per cell



Number 3 is which compound?
KZnBr4



What did the second record say?
# KZnBr2

A geometry-optimized KZnBr2 structure (PBE-GGA, the Alexandria database).

Calculated values
Fermi-level density of states = 1.593 states/eV/cell
uncorrected formation energy = -0.8971 eV/atom
excess energy over the best structure of this formula in the dataset = 66 meV per atom
M_tot = 0.00 Bohr magnetons per cell
crystal system = tetragonal

abc: 4.3424 4.3424 6.8704
angles: 90.00 90.00 90.00
Space group P4mm (No. 99)
One atom of each set of equivalent atoms:
K: 0.0000 0.0000 0.0000 x1
Zn: 0.5000 0.5000 0.4961 x1
Br: 0.0000 0.0000 0.5285 x1
Br: 0.5000 0.5000 0.1102 x1